1.
Below is crystalline PaNiAs at its relaxed geometry, with properties calculated at the PBE-GGA level.

Structure (extended XYZ):
```
12
Lattice="3.7345 0.0000 0.0000 0.0000 3.7345 0.0000 0.0000 0.0000 19.0678" Properties=species:S:1:pos:R:3 pbc="T T T"
Pa 0.0000 0.0000 2.7169
Pa 0.0000 0.0000 16.3508
Pa 1.8673 1.8673 6.8170
Pa 1.8673 1.8673 12.2508
Ni 0.0000 0.0000 5.3237
Ni 0.0000 0.0000 13.7440
Ni 1.8673 1.8673 4.2101
Ni 1.8673 1.8673 14.8576
As 0.0000 0.0000 7.8948
As 0.0000 0.0000 11.1730
As 1.8673 1.8673 1.6391
As 1.8673 1.8673 17.4287
```

As for the crystal system: tetragonal. For the formation energy, the calculation gives -0.43 eV per atom.

2.
Below is crystalline Pa3Ni4As4 at its relaxed geometry, with properties calculated at the PBE-GGA level.

Structure (extended XYZ):
```
11
Lattice="3.8974 0.0000 0.0000 0.0012 3.9758 0.0000 1.5856 1.9853 12.4416" Properties=species:S:1:pos:R:3 pbc="T T T"
Pa 0.0000 0.0000 0.0000
Pa 1.7443 3.9759 8.7007
Pa 3.7399 1.9852 3.7410
Ni 1.6904 1.9847 6.1772
Ni 1.4995 3.9733 2.5697
Ni 3.9847 1.9878 9.8719
Ni 3.7938 3.9764 6.2644
As 1.8414 3.9726 4.8845
As 1.8723 1.9853 1.4107
As 3.6118 3.9758 11.0309
As 3.6428 1.9884 7.5571
```

As for the crystal system: triclinic. For the formation energy, the calculation gives -0.76 eV per atom.

3.
Below is crystalline PaNiAs at its relaxed geometry, with properties calculated at the PBE-GGA level.

Structure (extended XYZ):
```
6
Lattice="3.6807 0.0000 0.0000 0.0000 3.6807 0.0000 0.0000 0.0000 8.5020" Properties=species:S:1:pos:R:3 pbc="T T T"
Pa 0.0000 0.0000 0.0000
Pa 1.8403 1.8403 4.2510
Ni 0.0000 0.0000 2.9194
Ni 1.8403 1.8403 7.1704
As 0.0000 0.0000 5.6265
As 1.8403 1.8403 1.3755
```

As for the crystal system: tetragonal. For the formation energy, the calculation gives -0.40 eV per atom.

4.
Below is crystalline Pa3Ni2As6 at its relaxed geometry, with properties calculated at the PBE-GGA level.

Structure (extended XYZ):
```
11
Lattice="-2.1598 2.1598 12.1343 2.1598 -2.1598 12.1343 2.1598 2.1598 -12.1343" Properties=species:S:1:pos:R:3 pbc="T T T"
Pa 0.0000 0.0000 0.0000
Pa 0.0000 0.0000 4.1145
Pa 0.0000 0.0000 20.1542
Ni 0.0000 0.0000 9.2331
Ni 0.0000 0.0000 15.0355
As 2.1598 0.0000 1.9659
As 0.0000 0.0000 6.9847
As 2.1598 0.0000 10.1685
As 0.0000 2.1598 1.9659
As 0.0000 0.0000 17.2839
As 0.0000 2.1598 10.1685
```

As for the crystal system: tetragonal. For the formation energy, the calculation gives -0.67 eV per atom.

no.,M_tot (μB per atom)
1,0.0000
2,0.0001
3,0.0000
4,0.0000